Material: AuSN2F
Method: DFT, PBEsol
State: optimized geometry

Output
E_tot in eV/atom: -3.318
DOS(E_F) in states/eV per cell: 2.211
Distance to the lowest polymorph of the same formula in meV per atom: 409

a = 3.582 Å, b = 3.582 Å, c = 6.217 Å
α = 90.00°, β = 90.00°, γ = 90.00°
Space group P4/mmm (No. 123)
Asymmetric unit:
Au 0.000 0.000 0.000 x1
S 0.500 0.500 0.000 x1
N 0.000 0.500 0.500 x2
F 0.500 0.500 0.500 x1